Material: ZrOsPt
Method: DFT, PBE
State: optimized geometry

Cell and atoms, written as CIF:
```
data_ZrOsPt
_cell_length_a 6.5193
_cell_length_b 6.5334
_cell_length_c 2.8588
_cell_angle_alpha 77.07
_cell_angle_beta 77.62
_cell_angle_gamma 25.30
_symmetry_space_group_name_H-M 'P 1'
_symmetry_Int_Tables_number 1
loop_
_symmetry_equiv_pos_as_xyz
'x,y,z'
loop_
_atom_site_label
_atom_site_type_symbol
_atom_site_fract_x
_atom_site_fract_y
_atom_site_fract_z
Os1 Os 0.9954 0.9954 0.0046
Zr1 Zr 0.6648 0.6648 0.3352
Pt1 Pt 0.3398 0.3398 0.6602
```

## Properties
**Energy relative to the lowest polymorph listed for this composition**: 0.3797 eV/atom
**Total magnetic moment**: 0.0 μB/f.u.
**Space-group type**: Fmm2
**Volume**: 16.90 Å³/atom
**Crystal system**: orthorhombic

Material: ZrOsPt
Method: DFT, PBE
State: optimized geometry

Cell and atoms, written as CIF:
```
data_ZrOsPt
_cell_length_a 5.3939
_cell_length_b 4.3398
_cell_length_c 9.1869
_cell_angle_alpha 90.00
_cell_angle_beta 93.73
_cell_angle_gamma 90.00
_symmetry_space_group_name_H-M 'P 1'
_symmetry_Int_Tables_number 1
loop_
_symmetry_equiv_pos_as_xyz
'x,y,z'
loop_
_atom_site_label
_atom_site_type_symbol
_atom_site_fract_x
_atom_site_fract_y
_atom_site_fract_z
Os1 Os 0.8628 0.0000 0.9874
Os2 Os 0.6407 0.0000 0.4294
Os3 Os 0.6407 0.5000 0.9294
Os4 Os 0.8628 0.5000 0.4874
Pt1 Pt 0.4100 0.5000 0.2882
Pt2 Pt 0.1427 0.5000 0.8958
Pt3 Pt 0.4100 0.0000 0.7882
Pt4 Pt 0.1427 0.0000 0.3958
Zr1 Zr 0.3795 0.0000 0.0977
Zr2 Zr 0.8998 0.5000 0.1947
Zr3 Zr 0.3795 0.5000 0.5977
Zr4 Zr 0.8998 0.0000 0.6947
```

## Properties
**Energy relative to the lowest polymorph listed for this composition**: 0.0499 eV/atom
**Total magnetic moment**: 0.0 μB/f.u.
**Space-group type**: Cm
**Volume**: 17.88 Å³/atom
**Crystal system**: monoclinic

Material: Zr2Os2Pt
Method: DFT, PBE
State: optimized geometry

Cell and atoms, written as CIF:
```
data_Zr2Os2Pt
_cell_length_a 6.8404
_cell_length_b 6.8404
_cell_length_c 3.9419
_cell_angle_alpha 90.00
_cell_angle_beta 90.00
_cell_angle_gamma 90.00
_symmetry_space_group_name_H-M 'P 1'
_symmetry_Int_Tables_number 1
loop_
_symmetry_equiv_pos_as_xyz
'x,y,z'
loop_
_atom_site_label
_atom_site_type_symbol
_atom_site_fract_x
_atom_site_fract_y
_atom_site_fract_z
Os1 Os 0.3733 0.8733 0.0000
Os2 Os 0.8733 0.6267 0.0000
Os3 Os 0.1267 0.3733 0.0000
Os4 Os 0.6267 0.1267 0.0000
Zr1 Zr 0.3173 0.1827 0.5000
Zr2 Zr 0.6827 0.8173 0.5000
Zr3 Zr 0.8173 0.3173 0.5000
Zr4 Zr 0.1827 0.6827 0.5000
Pt1 Pt 0.0000 0.0000 0.0000
Pt2 Pt 0.5000 0.5000 0.0000
```

## Properties
**Energy relative to the lowest polymorph listed for this composition**: 0.0000 eV/atom
**Total magnetic moment**: 0.0 μB/f.u.
**Space-group type**: P4/mbm
**Volume**: 18.44 Å³/atom
**Crystal system**: tetragonal

Material: Zr6Os5Pt
Method: DFT, PBE
State: optimized geometry

Cell and atoms, written as CIF:
```
data_Zr6Os5Pt
_cell_length_a 4.6739
_cell_length_b 6.5783
_cell_length_c 8.0879
_cell_angle_alpha 113.99
_cell_angle_beta 107.03
_cell_angle_gamma 90.00
_symmetry_space_group_name_H-M 'P 1'
_symmetry_Int_Tables_number 1
loop_
_symmetry_equiv_pos_as_xyz
'x,y,z'
loop_
_atom_site_label
_atom_site_type_symbol
_atom_site_fract_x
_atom_site_fract_y
_atom_site_fract_z
Os1 Os 0.6659 0.6661 0.3322
Os2 Os 0.0000 0.5000 0.0000
Os3 Os 0.3341 0.3339 0.6678
Os4 Os 0.3334 0.8328 0.6655
Os5 Os 0.6666 0.1672 0.3345
Zr1 Zr 0.5000 0.7466 0.0000
Zr2 Zr 0.5000 0.2534 0.0000
Zr3 Zr 0.8324 0.0835 0.6643
Zr4 Zr 0.1676 0.4192 0.3357
Zr5 Zr 0.1676 0.9165 0.3357
Zr6 Zr 0.8324 0.5808 0.6643
Pt1 Pt 0.0000 0.0000 0.0000
```

## Properties
**Total magnetic moment**: 0.0 μB/f.u.
**Space-group type**: C2/m
**Volume**: 17.93 Å³/atom
**Crystal system**: monoclinic

Material: Zr2Os2Pt
Method: DFT, PBE
State: optimized geometry

Cell and atoms, written as CIF:
```
data_Zr2Os2Pt
_cell_length_a 7.6836
_cell_length_b 7.6836
_cell_length_c 3.1264
_cell_angle_alpha 90.00
_cell_angle_beta 90.00
_cell_angle_gamma 90.00
_symmetry_space_group_name_H-M 'P 1'
_symmetry_Int_Tables_number 1
loop_
_symmetry_equiv_pos_as_xyz
'x,y,z'
loop_
_atom_site_label
_atom_site_type_symbol
_atom_site_fract_x
_atom_site_fract_y
_atom_site_fract_z
Zr1 Zr 0.6536 0.1536 0.0000
Zr2 Zr 0.1536 0.3464 0.0000
Zr3 Zr 0.8464 0.6536 0.0000
Zr4 Zr 0.3464 0.8464 0.0000
Os1 Os 0.3549 0.1451 0.5000
Os2 Os 0.8549 0.3549 0.5000
Os3 Os 0.1451 0.6451 0.5000
Os4 Os 0.6451 0.8549 0.5000
Pt1 Pt 0.0000 0.0000 0.0000
Pt2 Pt 0.5000 0.5000 0.0000
```

## Properties
**Energy relative to the lowest polymorph listed for this composition**: 0.4068 eV/atom
**Total magnetic moment**: 0.0 μB/f.u.
**Space-group type**: P4/mbm
**Volume**: 18.46 Å³/atom
**Crystal system**: tetragonal

Material: ZrOsPt
Method: DFT, PBE
State: optimized geometry

Cell and atoms, written as CIF:
```
data_ZrOsPt
_cell_length_a 5.0173
_cell_length_b 8.6624
_cell_length_c 5.0328
_cell_angle_alpha 90.00
_cell_angle_beta 111.28
_cell_angle_gamma 90.00
_symmetry_space_group_name_H-M 'P 1'
_symmetry_Int_Tables_number 1
loop_
_symmetry_equiv_pos_as_xyz
'x,y,z'
loop_
_atom_site_label
_atom_site_type_symbol
_atom_site_fract_x
_atom_site_fract_y
_atom_site_fract_z
Zr1 Zr 0.0000 0.6599 0.5000
Zr2 Zr 0.5000 0.9546 0.0000
Zr3 Zr 0.0000 0.1599 0.0000
Zr4 Zr 0.5000 0.4546 0.5000
Os1 Os 0.0000 0.4870 0.0000
Os2 Os 0.0000 0.2956 0.5000
Os3 Os 0.0000 0.7956 0.0000
Os4 Os 0.0000 0.9870 0.5000
Pt1 Pt 0.5000 0.1304 0.5000
Pt2 Pt 0.5000 0.6304 0.0000
Pt3 Pt 0.5000 0.3081 0.0000
Pt4 Pt 0.5000 0.8081 0.5000
```

## Properties
**Energy relative to the lowest polymorph listed for this composition**: 0.1321 eV/atom
**Total magnetic moment**: 0.0 μB/f.u.
**Space-group type**: C2
**Volume**: 16.99 Å³/atom
**Crystal system**: monoclinic

Material: ZrOsPt
Method: DFT, PBE
State: optimized geometry

Cell and atoms, written as CIF:
```
data_ZrOsPt
_cell_length_a 4.5810
_cell_length_b 4.5810
_cell_length_c 5.6633
_cell_angle_alpha 90.00
_cell_angle_beta 90.00
_cell_angle_gamma 120.00
_symmetry_space_group_name_H-M 'P 1'
_symmetry_Int_Tables_number 1
loop_
_symmetry_equiv_pos_as_xyz
'x,y,z'
loop_
_atom_site_label
_atom_site_type_symbol
_atom_site_fract_x
_atom_site_fract_y
_atom_site_fract_z
Os1 Os 0.3333 0.6667 0.5664
Os2 Os 0.0000 0.0000 0.5647
Zr1 Zr 0.0000 0.0000 0.0593
Zr2 Zr 0.6667 0.3333 0.7826
Pt1 Pt 0.6667 0.3333 0.3020
Pt2 Pt 0.3333 0.6667 0.0804
```

## Properties
**Energy relative to the lowest polymorph listed for this composition**: 0.1261 eV/atom
**Total magnetic moment**: 0.0 μB/f.u.
**Space-group type**: P3m1
**Volume**: 17.15 Å³/atom
**Crystal system**: trigonal

Material: ZrOsPt
Method: DFT, PBE
State: optimized geometry

Cell and atoms, written as CIF:
```
data_ZrOsPt
_cell_length_a 4.6254
_cell_length_b 4.6254
_cell_length_c 2.7576
_cell_angle_alpha 90.00
_cell_angle_beta 90.00
_cell_angle_gamma 120.00
_symmetry_space_group_name_H-M 'P 1'
_symmetry_Int_Tables_number 1
loop_
_symmetry_equiv_pos_as_xyz
'x,y,z'
loop_
_atom_site_label
_atom_site_type_symbol
_atom_site_fract_x
_atom_site_fract_y
_atom_site_fract_z
Zr1 Zr 0.3333 0.6667 0.6322
Os1 Os 0.0000 0.0000 0.9534
Pt1 Pt 0.6667 0.3333 0.4144
```

## Properties
**Energy relative to the lowest polymorph listed for this composition**: 0.4122 eV/atom
**Total magnetic moment**: 0.0 μB/f.u.
**Space-group type**: P3m1
**Volume**: 17.03 Å³/atom
**Crystal system**: trigonal

Material: ZrOsPt3
Method: DFT, PBE
State: optimized geometry

Cell and atoms, written as CIF:
```
data_ZrOsPt3
_cell_length_a 4.7994
_cell_length_b 4.7994
_cell_length_c 4.7994
_cell_angle_alpha 90.00
_cell_angle_beta 90.00
_cell_angle_gamma 90.00
_symmetry_space_group_name_H-M 'P 1'
_symmetry_Int_Tables_number 1
loop_
_symmetry_equiv_pos_as_xyz
'x,y,z'
loop_
_atom_site_label
_atom_site_type_symbol
_atom_site_fract_x
_atom_site_fract_y
_atom_site_fract_z
Pt1 Pt 0.5000 0.0000 0.0000
Pt2 Pt 0.0000 0.5000 0.0000
Pt3 Pt 0.0000 0.0000 0.5000
Zr1 Zr 0.5000 0.5000 0.5000
Os1 Os 0.0000 0.0000 0.0000
```

## Properties
**Energy relative to the lowest polymorph listed for this composition**: 0.0000 eV/atom
**Total magnetic moment**: 0.0 μB/f.u.
**Space-group type**: Pm-3m
**Volume**: 22.11 Å³/atom
**Crystal system**: cubic

Material: ZrOsPt
Method: DFT, PBE
State: optimized geometry

Cell and atoms, written as CIF:
```
data_ZrOsPt
_cell_length_a 5.6811
_cell_length_b 4.1266
_cell_length_c 8.9831
_cell_angle_alpha 90.00
_cell_angle_beta 104.80
_cell_angle_gamma 90.00
_symmetry_space_group_name_H-M 'P 1'
_symmetry_Int_Tables_number 1
loop_
_symmetry_equiv_pos_as_xyz
'x,y,z'
loop_
_atom_site_label
_atom_site_type_symbol
_atom_site_fract_x
_atom_site_fract_y
_atom_site_fract_z
Os1 Os 0.8874 0.5000 0.7028
Os2 Os 0.8874 0.0000 0.2028
Os3 Os 0.1971 0.5000 0.3680
Os4 Os 0.1971 0.0000 0.8680
Zr1 Zr 0.0691 0.5000 0.0481
Zr2 Zr 0.6954 0.5000 0.3429
Zr3 Zr 0.0691 0.0000 0.5481
Zr4 Zr 0.6954 0.0000 0.8429
Pt1 Pt 0.5579 0.0000 0.5218
Pt2 Pt 0.3795 0.5000 0.6941
Pt3 Pt 0.3795 0.0000 0.1941
Pt4 Pt 0.5579 0.5000 0.0218
```

## Properties
**Energy relative to the lowest polymorph listed for this composition**: 0.0844 eV/atom
**Total magnetic moment**: 0.0 μB/f.u.
**Space-group type**: Cm
**Volume**: 16.97 Å³/atom
**Crystal system**: monoclinic

Material: ZrOsPt
Method: DFT, PBE
State: optimized geometry

Cell and atoms, written as CIF:
```
data_ZrOsPt
_cell_length_a 5.6690
_cell_length_b 4.1223
_cell_length_c 9.0815
_cell_angle_alpha 90.00
_cell_angle_beta 107.64
_cell_angle_gamma 90.00
_symmetry_space_group_name_H-M 'P 1'
_symmetry_Int_Tables_number 1
loop_
_symmetry_equiv_pos_as_xyz
'x,y,z'
loop_
_atom_site_label
_atom_site_type_symbol
_atom_site_fract_x
_atom_site_fract_y
_atom_site_fract_z
Pt1 Pt 0.3798 0.5000 0.9700
Pt2 Pt 0.3798 0.0000 0.4700
Pt3 Pt 0.7130 0.0000 0.1509
Pt4 Pt 0.7130 0.5000 0.6509
Zr1 Zr 0.5716 0.5000 0.3281
Zr2 Zr 0.5716 0.0000 0.8281
Zr3 Zr 0.1905 0.0000 0.1210
Zr4 Zr 0.1905 0.5000 0.6210
Os1 Os 0.8889 0.5000 0.9794
Os2 Os 0.8889 0.0000 0.4794
Os3 Os 0.0425 0.0000 0.7960
Os4 Os 0.0425 0.5000 0.2960
```

## Properties
**Energy relative to the lowest polymorph listed for this composition**: 0.0000 eV/atom
**Total magnetic moment**: 0.0 μB/f.u.
**Space-group type**: Cm
**Volume**: 16.85 Å³/atom
**Crystal system**: monoclinic

Material: ZrOsPt
Method: DFT, PBE
State: optimized geometry

Cell and atoms, written as CIF:
```
data_ZrOsPt
_cell_length_a 5.1381
_cell_length_b 7.6976
_cell_length_c 5.2655
_cell_angle_alpha 90.00
_cell_angle_beta 90.00
_cell_angle_gamma 90.00
_symmetry_space_group_name_H-M 'P 1'
_symmetry_Int_Tables_number 1
loop_
_symmetry_equiv_pos_as_xyz
'x,y,z'
loop_
_atom_site_label
_atom_site_type_symbol
_atom_site_fract_x
_atom_site_fract_y
_atom_site_fract_z
Zr1 Zr 0.2500 0.6280 0.3758
Zr2 Zr 0.7500 0.1280 0.8758
Zr3 Zr 0.7500 0.3720 0.3758
Zr4 Zr 0.2500 0.8720 0.8758
Pt1 Pt 0.7500 0.7156 0.1486
Pt2 Pt 0.2500 0.2156 0.6486
Pt3 Pt 0.2500 0.2844 0.1486
Pt4 Pt 0.7500 0.7844 0.6486
Os1 Os 0.5000 0.5000 0.8324
Os2 Os 0.5000 0.0000 0.3324
Os3 Os 0.0000 0.0000 0.3324
Os4 Os 0.0000 0.5000 0.8324
```

## Properties
**Energy relative to the lowest polymorph listed for this composition**: 0.0092 eV/atom
**Total magnetic moment**: 0.0 μB/f.u.
**Space-group type**: Ima2
**Volume**: 17.35 Å³/atom
**Crystal system**: orthorhombic

In order of appearance, formation energy = -0.192 -0.522 -0.341 -0.560 0.066 -0.440 -0.446 -0.159 0.901 -0.487 -0.572 -0.562 eV per atom.